Material: ScCoNi2B
Method: DFT, PBE-GGA
State: optimized geometry

Cell and atoms, written as extended XYZ:
```
5
Lattice="-0.312 -3.822 -0.733 3.820 -0.441 0.671 -0.734 -0.658 3.742" Properties=species:S:1:pos:R:3 pbc="T T T"
B 0.000 0.000 0.000
Ni -0.156 -1.911 -0.366
Ni 1.910 -0.220 0.336
Sc 1.387 -2.460 1.840
Co -0.367 -0.329 1.871
```

Values from the calculation:
- SG = P4/mmm
- E_form (meV per atom) = -423.8
- E (eV per atom) = -6.759